Record 1
CeEuHoIn | PBE-GGA | optimized geometry

Unit cell a=5.5094 b=5.5094 c=5.5094 alpha=60.00 beta=60.00 gamma=60.00
Atoms (fractional coordinates):
Ce: 0.0000 0.0000 0.0000
Eu: 0.7500 0.7500 0.7500
Ho: 0.2500 0.2500 0.2500
In: 0.5000 0.5000 0.5000

Output
Formation enthalpy at 0 K, eV per atom: -0.040
V, Å³/atom: 29.56
D(E_F), states/eV/cell: 7.84
Final energy, eV per atom: -5.921
Magnetization, μB per formula unit: 10.67

***

Record 2
CrBiP | PBE-GGA | optimized geometry

Unit cell a=3.2587 b=3.2616 c=6.1612 alpha=82.25 beta=89.25 gamma=89.97
Atoms (fractional coordinates):
Cr: 0.0000 0.0000 0.0000
Bi: 0.4977 0.4529 0.5945
P: 0.4968 0.4670 0.1224

Output
Formation enthalpy at 0 K, eV per atom: 0.092
V, Å³/atom: 21.63
D(E_F), states/eV/cell: 1.75
Final energy, eV per atom: -6.213
Magnetization, μB per formula unit: 3.02
Energy relative to the lowest polymorph listed for this composition, kJ per mole of atoms: 0.0

***

Record 3
ScBe2Co2 | PBE-GGA | optimized geometry

Unit cell a=6.3782 b=6.3782 c=2.7217 alpha=90.00 beta=90.00 gamma=90.00
Atoms (fractional coordinates):
Sc: 0.0000 0.0000 0.0000
Sc: 0.5000 0.5000 0.0000
Be: 0.1175 0.3825 0.0000
Be: 0.3825 0.8825 0.0000
Be: 0.6175 0.1175 0.0000
Be: 0.8825 0.6175 0.0000
Co: 0.1690 0.6690 0.5000
Co: 0.3310 0.1690 0.5000
Co: 0.6690 0.8310 0.5000
Co: 0.8310 0.3310 0.5000

Output
Formation enthalpy at 0 K, eV per atom: -0.248
V, Å³/atom: 11.07
D(E_F), states/eV/cell: 4.78
Final energy, eV per atom: -5.847
Magnetization, μB per formula unit: 0.00
Energy relative to the lowest polymorph listed for this composition, kJ per mole of atoms: 0.0